a:
This record from Alexandria via LeMat-Bulk describes a relaxed structure of Na3AsPd. The functional is PBE.

Results
Space-group type: C2/m

Geometry as POSCAR:
```
Na3AsPd
1.0
4.5811 -5.0825 0.0000
4.5811 5.0825 0.0000
-2.2223 0.0000 5.2096
Na As Pd
6 2 2
Direct
0.1066 0.1066 0.3075
0.1136 0.5570 0.2787
0.4430 0.8864 0.7213
0.5570 0.1136 0.2787
0.8864 0.4430 0.7213
0.8934 0.8934 0.6925
0.2538 0.2538 0.8959
0.7462 0.7462 0.1041
0.4670 0.4670 0.7304
0.5330 0.5330 0.2696
```


b:
This record from Alexandria via LeMat-Bulk describes a relaxed structure of Na3AsPd. The functional is PBE.

Results
Space-group type: P6_3/mmc

Geometry as POSCAR:
```
Na3AsPd
1.0
5.1164 0.0000 0.0000
-2.5582 4.4309 0.0000
0.0000 0.0000 9.7894
Na As Pd
6 2 2
Direct
0.3333 0.6667 0.0856
0.3333 0.6667 0.4144
0.3333 0.6667 0.7500
0.6667 0.3333 0.2500
0.6667 0.3333 0.5856
0.6667 0.3333 0.9144
0.0000 0.0000 0.0000
0.0000 0.0000 0.5000
0.0000 0.0000 0.2500
0.0000 0.0000 0.7500
```


Which of them is most stable? Easy: b.


a:
This record from Alexandria via LeMat-Bulk describes a relaxed structure of NaPmAs2. The functional is PBE.

Results
Space-group type: P4/mmm

Geometry as POSCAR:
```
NaPmAs2
1.0
3.9493 0.0000 0.0000
0.0000 3.9493 0.0000
0.0000 0.0000 6.7361
Na Pm As
1 1 2
Direct
0.0000 0.0000 0.0000
0.0000 0.0000 0.5000
0.5000 0.5000 0.3077
0.5000 0.5000 0.6923
```


b:
This record from Alexandria via LeMat-Bulk describes a relaxed structure of NaPmAs2. The functional is PBE.

Results
Space-group type: P4/mmm

Geometry as POSCAR:
```
NaPmAs2
1.0
4.7873 0.0000 0.0000
0.0000 4.7873 0.0000
0.0000 0.0000 4.0024
Na Pm As
1 1 2
Direct
0.0000 0.0000 0.0000
0.5000 0.5000 0.0000
0.0000 0.5000 0.5000
0.5000 0.0000 0.5000
```


Which of them is most stable? Easy: a.


a:
This record from Alexandria via LeMat-Bulk describes a relaxed structure of Na3As2Pt3. The functional is PBE.

Results
Space-group type: Pnma

Geometry as POSCAR:
```
Na3As2Pt3
1.0
7.9624 0.0000 0.0000
0.0000 14.8724 0.0000
0.0000 0.0000 5.7787
Na As Pt
12 8 12
Direct
0.0083 0.1154 0.1114
0.0083 0.3846 0.1114
0.1574 0.7500 0.4453
0.3426 0.2500 0.9453
0.4917 0.6154 0.6114
0.4917 0.8846 0.6114
0.5083 0.1154 0.3886
0.5083 0.3846 0.3886
0.6574 0.7500 0.0547
0.8426 0.2500 0.5547
0.9917 0.6154 0.8886
0.9917 0.8846 0.8886
0.1653 0.0978 0.6023
0.1653 0.4022 0.6023
0.3347 0.5978 0.1023
0.3347 0.9022 0.1023
0.6653 0.0978 0.8977
0.6653 0.4022 0.8977
0.8347 0.5978 0.3977
0.8347 0.9022 0.3977
0.1262 0.5432 0.3754
0.1262 0.9568 0.3754
0.1989 0.2500 0.4642
0.3011 0.7500 0.9642
0.3738 0.0432 0.8754
0.3738 0.4568 0.8754
0.6262 0.5432 0.1246
0.6262 0.9568 0.1246
0.6989 0.2500 0.0358
0.8011 0.7500 0.5358
0.8738 0.0432 0.6246
0.8738 0.4568 0.6246
```


b:
This record from Alexandria via LeMat-Bulk describes a relaxed structure of Na3As2Pt3. The functional is PBE.

Results
Space-group type: R-3m

Geometry as POSCAR:
```
Na3As2Pt3
1.0
2.7692 1.5988 6.2848
-2.7692 1.5988 6.2848
0.0000 -3.1976 6.2848
Na As Pt
3 2 3
Direct
0.0000 0.0000 0.0000
0.4215 0.4215 0.4215
0.5785 0.5785 0.5785
0.2678 0.2678 0.2678
0.7322 0.7322 0.7322
0.0000 0.0000 0.5000
0.0000 0.5000 0.0000
0.5000 0.0000 0.0000
```


Which of them is most stable? Easy: a.


a:
This record from Alexandria via LeMat-Bulk describes a relaxed structure of Na3As2Pt. The functional is PBE.

Results
Space-group type: Cmcm

Geometry as POSCAR:
```
Na3As2Pt
1.0
4.3276 -4.8381 0.0000
4.3276 4.8381 0.0000
0.0000 0.0000 6.6825
Na As Pt
6 4 2
Direct
0.0535 0.5713 0.2500
0.1101 0.8899 0.7500
0.4287 0.9465 0.2500
0.5713 0.0535 0.7500
0.8899 0.1101 0.2500
0.9465 0.4287 0.7500
0.2836 0.2836 0.0000
0.2836 0.2836 0.5000
0.7164 0.7164 0.0000
0.7164 0.7164 0.5000
0.4738 0.5262 0.7500
0.5262 0.4738 0.2500
```


b:
This record from Alexandria via LeMat-Bulk describes a relaxed structure of Na3As2Pt. The functional is PBE.

Results
Space-group type: P2_1/c

Geometry as POSCAR:
```
Na3As2Pt
1.0
8.3957 0.0000 0.0000
0.0000 9.9284 0.0000
-0.8917 0.0000 7.1825
Na As Pt
12 8 4
Direct
0.0504 0.1485 0.4891
0.0504 0.3515 0.9891
0.3164 0.1086 0.9783
0.3164 0.3914 0.4783
0.3522 0.7016 0.1738
0.3522 0.7984 0.6738
0.6478 0.2016 0.3262
0.6478 0.2984 0.8262
0.6836 0.6086 0.5217
0.6836 0.8914 0.0217
0.9496 0.6485 0.0109
0.9496 0.8515 0.5109
0.0412 0.5779 0.6349
0.0412 0.9221 0.1349
0.4241 0.0934 0.6058
0.4241 0.4066 0.1058
0.5759 0.5934 0.8942
0.5759 0.9066 0.3942
0.9588 0.0779 0.8651
0.9588 0.4221 0.3651
0.2854 0.5274 0.8269
0.2854 0.9726 0.3269
0.7146 0.0274 0.6731
0.7146 0.4726 0.1731
```


Which of them is most stable? Easy: b.


a:
This record from Alexandria via LeMat-Bulk describes a relaxed structure of RbNa2AsPt. The functional is PBE.

Results
Space-group type: P4/mmm

Geometry as POSCAR:
```
RbNa2AsPt
1.0
5.6258 0.0000 0.0000
0.0000 5.6258 0.0000
0.0000 0.0000 4.7868
Rb Na As Pt
1 2 1 1
Direct
0.0000 0.0000 0.0000
0.0000 0.5000 0.5000
0.5000 0.0000 0.5000
0.5000 0.5000 0.5000
0.5000 0.5000 0.0000
```


b:
This record from Alexandria via LeMat-Bulk describes a relaxed structure of RbNa2AsPt. The functional is PBE.

Results
Space-group type: P4/mmm

Geometry as POSCAR:
```
RbNa2AsPt
1.0
5.6313 0.0000 0.0000
0.0000 5.6313 0.0000
0.0000 0.0000 4.7563
Rb Na As Pt
1 2 1 1
Direct
0.0000 0.0000 0.0000
0.0000 0.5000 0.5000
0.5000 0.0000 0.5000
0.5000 0.5000 0.0000
0.5000 0.5000 0.5000
```


Which of them is most stable? Easy: b.


a:
This record from Alexandria via LeMat-Bulk describes a relaxed structure of NaAsRuPt2. The functional is PBE.

Results
Space-group type: P4/mmm

Geometry as POSCAR:
```
NaAsRuPt2
1.0
4.5661 0.0000 0.0000
0.0000 4.5661 0.0000
0.0000 0.0000 4.5796
Na As Ru Pt
1 1 1 2
Direct
0.0000 0.0000 0.0000
0.0000 0.0000 0.5000
0.5000 0.5000 0.5000
0.0000 0.5000 0.0000
0.5000 0.0000 0.0000
```


b:
This record from Alexandria via LeMat-Bulk describes a relaxed structure of NaAsRuPt2. The functional is PBE.

Results
Space-group type: P4/mmm

Geometry as POSCAR:
```
NaAsRuPt2
1.0
4.7163 0.0000 0.0000
0.0000 4.7163 0.0000
0.0000 0.0000 4.5807
Na As Ru Pt
1 1 1 2
Direct
0.0000 0.0000 0.0000
0.5000 0.5000 0.5000
0.5000 0.5000 0.0000
0.0000 0.5000 0.5000
0.5000 0.0000 0.5000
```


Which of them is most stable? Easy: b.


a:
This record from Alexandria via LeMat-Bulk describes a relaxed structure of NaAs2PtSe. The functional is PBE.

Results
Space-group type: P4/mmm

Geometry as POSCAR:
```
NaAs2PtSe
1.0
4.8416 0.0000 0.0000
0.0000 4.8416 0.0000
0.0000 0.0000 5.5423
Na As Pt Se
1 2 1 1
Direct
0.0000 0.0000 0.0000
0.0000 0.5000 0.5000
0.5000 0.0000 0.5000
0.5000 0.5000 0.5000
0.5000 0.5000 0.0000
```


b:
This record from Alexandria via LeMat-Bulk describes a relaxed structure of NaAs2PtSe. The functional is PBE.

Results
Space-group type: P4/mmm

Geometry as POSCAR:
```
NaAs2PtSe
1.0
4.8875 0.0000 0.0000
0.0000 4.8875 0.0000
0.0000 0.0000 4.8685
Na As Pt Se
1 2 1 1
Direct
0.0000 0.0000 0.0000
0.0000 0.5000 0.0000
0.5000 0.0000 0.0000
0.5000 0.5000 0.5000
0.0000 0.0000 0.5000
```


Which of them is most stable? Easy: a.


a:
This record from Alexandria via LeMat-Bulk describes a relaxed structure of Rb2NaAs2. The functional is PBE.

Results
Space-group type: C2/c

Geometry as POSCAR:
```
Rb2NaAs2
1.0
5.6207 -3.5056 0.0000
5.6207 3.5056 0.0000
-1.6562 0.0000 8.9968
Rb Na As
4 2 4
Direct
0.0019 0.2936 0.1407
0.2936 0.0019 0.6407
0.7064 0.9981 0.3593
0.9981 0.7064 0.8593
0.4290 0.5710 0.2500
0.5710 0.4290 0.7500
0.1762 0.5147 0.4941
0.4853 0.8238 0.0059
0.5147 0.1762 0.9941
0.8238 0.4853 0.5059
```


b:
This record from Alexandria via LeMat-Bulk describes a relaxed structure of Rb2NaAs2. The functional is PBE.

Results
Space-group type: P4/mbm

Geometry as POSCAR:
```
Rb2NaAs2
1.0
7.9515 0.0000 0.0000
0.0000 7.9515 0.0000
0.0000 0.0000 5.5005
Rb Na As
4 2 4
Direct
0.1743 0.3257 0.0000
0.3257 0.8257 0.0000
0.6743 0.1743 0.0000
0.8257 0.6743 0.0000
0.0000 0.0000 0.5000
0.5000 0.5000 0.5000
0.1085 0.6085 0.5000
0.3915 0.1085 0.5000
0.6085 0.8915 0.5000
0.8915 0.3915 0.5000
```


Which of them is most stable? Easy: a.


a:
This record from Alexandria via LeMat-Bulk describes a relaxed structure of RbNaAs3. The functional is PBE.

Results
Space-group type: Pm-3m

Geometry as POSCAR:
```
RbNaAs3
1.0
5.2647 0.0000 0.0000
0.0000 5.2647 0.0000
0.0000 0.0000 5.2647
Rb Na As
1 1 3
Direct
0.0000 0.0000 0.0000
0.5000 0.5000 0.5000
0.0000 0.5000 0.5000
0.5000 0.0000 0.5000
0.5000 0.5000 0.0000
```


b:
This record from Alexandria via LeMat-Bulk describes a relaxed structure of RbNaAs3. The functional is PBE.

Results
Space-group type: C2/m

Geometry as POSCAR:
```
RbNaAs3
1.0
8.5106 -2.2257 0.0000
8.5106 2.2257 0.0000
-4.8378 0.0000 8.4951
Rb Na As
2 2 6
Direct
0.1293 0.1293 0.0997
0.8707 0.8707 0.9003
0.3918 0.3918 0.3775
0.6082 0.6082 0.6225
0.0537 0.0537 0.3809
0.2284 0.2284 0.5434
0.4932 0.4932 0.7688
0.5068 0.5068 0.2312
0.7716 0.7716 0.4566
0.9463 0.9463 0.6191
```


c:
This record from Alexandria via LeMat-Bulk describes a relaxed structure of RbNaAs3. The functional is PBE.

Results
Space-group type: Pm-3m

Geometry as POSCAR:
```
RbNaAs3
1.0
5.7847 0.0000 0.0000
0.0000 5.7847 0.0000
0.0000 0.0000 5.7847
Rb Na As
1 1 3
Direct
0.0000 0.0000 0.0000
0.5000 0.5000 0.5000
0.0000 0.0000 0.5000
0.0000 0.5000 0.0000
0.5000 0.0000 0.0000
```


Which of them is most stable? Easy: b.


a:
This record from Alexandria via LeMat-Bulk describes a relaxed structure of RbNaAs. The functional is PBE.

Results
Space-group type: P-6m2

Geometry as POSCAR:
```
RbNaAs
1.0
4.9041 0.0000 0.0000
-2.4520 4.2471 0.0000
0.0000 0.0000 13.3069
Rb Na As
2 2 2
Direct
0.0000 0.0000 0.2402
0.0000 0.0000 0.7598
0.3333 0.6667 0.5000
0.6667 0.3333 0.0000
0.3333 0.6667 0.0882
0.3333 0.6667 0.9118
```


b:
This record from Alexandria via LeMat-Bulk describes a relaxed structure of RbNaAs. The functional is PBE.

Results
Space-group type: Immm

Geometry as POSCAR:
```
RbNaAs
1.0
-2.3279 3.5385 6.7606
2.3279 -3.5385 6.7606
2.3279 3.5385 -6.7606
Rb Na As
2 2 2
Direct
0.2103 0.2103 0.0000
0.7897 0.7897 0.0000
0.2924 0.5000 0.7924
0.7076 0.5000 0.2076
0.4052 0.9052 0.5000
0.5948 0.0948 0.5000
```


c:
This record from Alexandria via LeMat-Bulk describes a relaxed structure of RbNaAs. The functional is PBE.

Results
Space-group type: I4mm

Geometry as POSCAR:
```
RbNaAs
1.0
-2.0270 2.0270 6.0951
2.0270 -2.0270 6.0951
2.0270 2.0270 -6.0951
Rb Na As
1 1 1
Direct
0.0000 0.0000 0.0000
0.7344 0.7344 0.0000
0.3092 0.3092 0.0000
```


Which of them is most stable? Easy: b.


a:
This record from Alexandria via LeMat-Bulk describes a relaxed structure of RbNaAsSe2. The functional is PBE.

Results
Space-group type: P4/mmm

Geometry as POSCAR:
```
RbNaAsSe2
1.0
5.4140 0.0000 0.0000
0.0000 5.4140 0.0000
0.0000 0.0000 5.2036
Rb Na As Se
1 1 1 2
Direct
0.0000 0.0000 0.0000
0.5000 0.5000 0.5000
0.5000 0.5000 0.0000
0.0000 0.5000 0.5000
0.5000 0.0000 0.5000
```


b:
This record from Alexandria via LeMat-Bulk describes a relaxed structure of RbNaAsSe2. The functional is PBE.

Results
Space-group type: Cmme

Geometry as POSCAR:
```
RbNaAsSe2
1.0
3.2361 -6.6380 0.0000
3.2361 6.6380 0.0000
0.0000 0.0000 6.5399
Rb Na As Se
2 2 2 4
Direct
0.2500 0.7500 0.7681
0.7500 0.2500 0.2319
0.2500 0.2500 0.5000
0.7500 0.7500 0.5000
0.0000 0.0000 0.0000
0.5000 0.5000 0.0000
0.1478 0.8522 0.2620
0.3522 0.6478 0.2620
0.6478 0.3522 0.7380
0.8522 0.1478 0.7380
```


Which of them is most stable? Easy: b.